Here is a relaxed structure of TaIn3S from the Alexandria database. Energies are from PBE-GGA.

Properties
Its total energy is -3.880 eV per atom. As for the space-group type: Pm-3m (221). The polymorph energy (0 for the lowest one) comes out at 0.000 eV per atom.

a b c (Å): 5.4751 5.4751 5.4751
angles (deg): 90.00 90.00 90.00
With the nearest neighbours (Å) after each atom.
Positions (direct):
Ta (0.0000, 0.0000, 0.0000)  6 In 2.74
In (0.0000, 0.0000, 0.5000)  2 Ta 2.74
In (0.0000, 0.5000, 0.0000)  2 Ta 2.74
In (0.5000, 0.0000, 0.0000)  2 Ta 2.74
S (0.5000, 0.5000, 0.5000)  12 In 3.87


Here is a relaxed structure of AlRu2Rh from the Alexandria database. Energies are from PBE-GGA.

Properties
Its total energy is -7.750 eV per atom. As for the space-group type: P4mm (99). The value obtained for the calculated formation energy is -0.338 eV per atom.

a b c (Å): 2.8166 2.8166 6.9827
angles (deg): 90.00 90.00 90.00
With the nearest neighbours (Å) after each atom.
Positions (direct):
Al (0.0000, 0.0000, 0.0000)  4 Rh 2.55, 4 Ru 2.63, 4 Al 2.82
Ru (0.0000, 0.0000, 0.5063)  8 Ru 2.64-2.82, 4 Rh 2.79
Ru (0.5000, 0.5000, 0.7543)  4 Al 2.63, 8 Ru 2.64-2.82
Rh (0.5000, 0.5000, 0.2275)  4 Al 2.55, 4 Ru 2.79, 4 Rh 2.82


Here is a relaxed structure of Nb6TlS8 from the Alexandria database. Energies are from PBE-GGA.

Properties
Its total energy is -7.269 eV per atom. As for the space-group type: R-3 (148). The polymorph energy (0 for the lowest one) comes out at 0.163 eV per atom.

a b c (Å): 6.8143 6.8143 6.8143
angles (deg): 88.44 88.44 88.44
With the nearest neighbours (Å) after each atom.
Positions (direct):
Nb (0.2083, 0.4052, 0.5600)  5 S 2.46-2.57
Nb (0.4052, 0.5600, 0.2083)  5 S 2.46-2.57
Nb (0.4400, 0.7917, 0.5948)  5 S 2.46-2.57
Nb (0.5600, 0.2083, 0.4052)  5 S 2.46-2.57
Nb (0.5948, 0.4400, 0.7917)  5 S 2.46-2.57
Nb (0.7917, 0.5948, 0.4400)  5 S 2.46-2.57
Tl (0.0000, 0.0000, 0.0000)  2 S 2.93
S (0.1295, 0.7356, 0.4069)  4 Nb 2.51-2.57
S (0.2420, 0.2420, 0.2420)  3 Nb 2.46
S (0.2644, 0.5931, 0.8705)  4 Nb 2.51-2.57
S (0.4069, 0.1295, 0.7356)  4 Nb 2.51-2.57
S (0.5931, 0.8705, 0.2644)  4 Nb 2.51-2.57
S (0.7356, 0.4069, 0.1295)  4 Nb 2.51-2.57
S (0.7580, 0.7580, 0.7580)  3 Nb 2.46
S (0.8705, 0.2644, 0.5931)  4 Nb 2.51-2.57